# 1
The following is a PBE calculation of a geometry-optimized TeWSe2Br structure, from Alexandria via LeMat-Bulk.

Properties
Magnetic moment, μB/cell: 0.0
E_form (uncorrected), meV/atom: 387

a = 4.9712 Å, b = 4.9712 Å, c = 5.0263 Å
α = 90.00°, β = 90.00°, γ = 90.00°
Element x y z (fractional)
Br: 0.0000 0.0000 0.5000
W: 0.0000 0.0000 0.0000
Se: 0.5000 0.0000 0.0000
Se: 0.0000 0.5000 0.0000
Te: 0.5000 0.5000 0.5000

---

# 2
The following is a PBE calculation of a geometry-optimized ScP2NO structure, from Alexandria via LeMat-Bulk.

Properties
Magnetic moment, μB/cell: 0.0
E_form (uncorrected), meV/atom: 24

a = 3.5227 Å, b = 3.5227 Å, c = 5.5598 Å
α = 90.00°, β = 90.00°, γ = 90.00°
Element x y z (fractional)
P: 0.5000 0.0000 0.0000
N: 0.0000 0.0000 0.0000
P: 0.0000 0.5000 0.0000
Sc: 0.5000 0.5000 0.5000
O: 0.0000 0.0000 0.5000

---

# 3
The following is a PBE calculation of a geometry-optimized HfAl2Hg2 structure, from Alexandria via LeMat-Bulk.

Properties
Magnetic moment, μB/cell: 0.0

a = 4.0736 Å, b = 4.0736 Å, c = 6.7215 Å
α = 72.36°, β = 72.36°, γ = 90.00°
Element x y z (fractional)
Hg: 0.6107 0.6107 0.7786
Hf: 0.0000 0.0000 0.0000
Al: 0.2500 0.7500 0.5000
Al: 0.7500 0.2500 0.5000
Hg: 0.3893 0.3893 0.2214

---

no.,energy above the most stable polymorph in this dataset (meV per atom)
1,0.0
2,0.0
3,108.2